1.
Computed, not measured: a relaxed Ca3YGa crystal at the GGA-PBE level of DFT.

Cell and atoms, written as POSCAR:
```
Ca3YGa
1.0
6.129 0.000 0.000
0.000 6.129 0.000
0.000 0.000 6.129
Ca Y Ga
3 1 1
Cartesian
0.000 0.000 3.065
0.000 3.065 0.000
3.065 0.000 0.000
0.000 0.000 0.000
3.065 3.065 3.065
```

Calculated values
E = -10.81 eV for the cell shown
Fermi-level density of states = 7.20 states/eV/f.u.
Size of the total moment = 0.502 μB/atom
Energy above the most stable polymorph in this dataset = 818 meV/atom

2.
Computed, not measured: a relaxed Pr2EuSc crystal at the GGA-PBE level of DFT.

Cell and atoms, written as POSCAR:
```
Pr2EuSc
1.0
5.163 0.000 0.000
0.000 5.163 0.000
0.000 0.000 5.008
Pr Eu Sc
2 1 1
Cartesian
0.000 2.582 0.000
2.582 0.000 0.000
0.000 0.000 2.504
2.582 2.582 2.504
```

Calculated values
E = -25.74 eV for the cell shown
Fermi-level density of states = 5.96 states/eV/f.u.
Size of the total moment = 1.788 μB/atom
Energy above the most stable polymorph in this dataset = 53 meV/atom

3.
Computed, not measured: a relaxed Cr8CoC2 crystal at the GGA-PBE level of DFT.

Cell and atoms, written as POSCAR:
```
Cr8CoC2
1.0
4.773 -3.391 0.000
4.773 3.391 0.000
-0.362 0.000 3.990
Cr Co C
8 1 2
Cartesian
3.422 1.950 2.955
0.807 0.000 3.059
2.821 0.000 1.192
5.763 1.950 1.034
3.422 -1.950 2.955
6.364 0.000 2.797
8.379 0.000 0.931
5.763 -1.950 1.034
4.773 0.000 0.000
2.762 0.000 3.156
6.423 0.000 0.834
```

Calculated values
E = -98.01 eV for the cell shown
Fermi-level density of states = 9.44 states/eV/f.u.
Size of the total moment = 0.115 μB/atom

4.
Computed, not measured: a relaxed LuThMgMn crystal at the GGA-PBE level of DFT.

Cell and atoms, written as POSCAR:
```
LuThMgMn
1.0
0.000 3.640 3.640
3.640 0.000 3.640
3.640 3.640 0.000
Lu Th Mg Mn
1 1 1 1
Cartesian
0.000 0.000 0.000
3.640 3.640 3.640
1.820 1.820 1.820
5.461 5.461 5.461
```

Calculated values
E = -22.14 eV for the cell shown
Fermi-level density of states = 3.49 states/eV/f.u.
Size of the total moment = 0.609 μB/atom

5.
Computed, not measured: a relaxed Er8MnBi2 crystal at the GGA-PBE level of DFT.

Cell and atoms, written as POSCAR:
```
Er8MnBi2
1.0
8.648 -2.698 0.000
8.648 2.698 0.000
-2.041 0.000 6.545
Er Mn Bi
8 1 2
Cartesian
-0.334 0.000 1.534
3.236 0.000 0.683
4.905 0.000 4.499
6.576 0.000 1.506
8.678 0.000 5.039
10.349 0.000 2.046
12.018 0.000 5.862
15.588 0.000 5.011
8.648 0.000 0.000
1.680 0.000 4.029
13.574 0.000 2.516
```

Calculated values
E = -55.26 eV for the cell shown
Fermi-level density of states = 9.59 states/eV/f.u.
Size of the total moment = 0.000 μB/atom

6.
Computed, not measured: a relaxed Ac3Y7Er2 crystal at the GGA-PBE level of DFT.

Cell and atoms, written as POSCAR:
```
Ac3Y7Er2
1.0
1.881 -20.570 0.000
1.881 20.570 0.000
0.000 0.000 5.766
Ac Y Er
3 7 2
Cartesian
0.000 0.000 0.000
1.881 7.078 2.883
1.881 -7.078 2.883
1.881 17.097 2.883
1.881 11.680 0.000
1.881 2.886 0.000
1.881 0.000 2.883
1.881 -2.886 0.000
1.881 -11.680 0.000
1.881 -17.097 2.883
1.881 14.927 0.000
1.881 -14.927 0.000
```

Calculated values
E = -63.81 eV for the cell shown
Fermi-level density of states = 19.36 states/eV/f.u.
Size of the total moment = 0.005 μB/atom